# 1
{"formula": "CeNdSmN3", "functional": "PBE", "state": "relaxed", "cell": [[-2.502, 2.139, 1.343], [-2.777, -4.859, 2.565], [5.839, 2.584, 6.766]], "species": ["N", "N", "N", "N", "N", "N", "Ce", "Ce", "Sm", "Sm", "Nd", "Nd"], "frac_coords": [[0.750, 0.254, 0.505], [0.250, 0.746, 0.495], [0.750, 0.542, 0.171], [0.250, 0.458, 0.829], [0.250, 0.959, 0.841], [0.750, 0.041, 0.159], [0.250, 0.151, 0.643], [0.750, 0.849, 0.357], [0.750, 0.233, 0.955], [0.250, 0.767, 0.045], [0.250, 0.337, 0.303], [0.750, 0.663, 0.697]], "total_energy_ev_per_atom": -8.012, "n_ef_per_ev_atom": 0.527, "spacegroup": "No. 11"}

=====

# 2
{"formula": "Ce2NdSmN4", "functional": "PBE", "state": "relaxed", "cell": [[3.591, 0.000, 0.000], [0.000, 6.218, 0.109], [0.000, -2.174, 5.821]], "species": ["Sm", "N", "N", "N", "N", "Ce", "Ce", "Nd"], "frac_coords": [[0.000, 0.000, 0.000], [0.000, 0.243, 0.736], [0.000, 0.757, 0.264], [0.500, 0.251, 0.262], [0.500, 0.749, 0.738], [0.500, 0.000, 0.500], [0.000, 0.500, 0.500], [0.500, 0.500, 0.000]], "total_energy_ev_per_atom": -8.313, "n_ef_per_ev_atom": 0.599, "spacegroup": "No. 10"}

=====

# 3
{"formula": "Ce2Nd3SmN6", "functional": "PBE", "state": "relaxed", "cell": [[6.246, -0.001, 0.000], [-3.123, 5.410, 0.000], [-1.042, -1.804, 5.894]], "species": ["N", "N", "N", "N", "N", "N", "Nd", "Nd", "Nd", "Ce", "Ce", "Sm"], "frac_coords": [[0.079, 0.420, 0.237], [0.580, 0.921, 0.763], [0.420, 0.079, 0.237], [0.262, 0.262, 0.763], [0.921, 0.580, 0.763], [0.738, 0.738, 0.237], [0.500, 0.500, 0.500], [0.834, 0.166, 0.500], [0.166, 0.834, 0.500], [0.333, 0.667, 0.000], [0.667, 0.333, 0.000], [0.000, 0.000, 0.000]], "total_energy_ev_per_atom": -8.191, "n_ef_per_ev_atom": 0.419, "spacegroup": "No. 12"}

=====

# 4
{"formula": "Ce2NdSnN2", "functional": "PBE", "state": "relaxed", "cell": [[4.569, 0.000, 0.000], [0.000, 4.569, 0.000], [0.000, 0.000, 6.707]], "species": ["N", "N", "Ce", "Ce", "Nd", "Sn"], "frac_coords": [[0.000, 0.500, 0.000], [0.500, 0.000, 0.000], [0.500, 0.500, 0.225], [0.500, 0.500, 0.775], [0.000, 0.000, 0.000], [0.000, 0.000, 0.500]], "total_energy_ev_per_atom": -6.923, "n_ef_per_ev_atom": 1.503, "spacegroup": "No. 123"}

=====

# 5
{"formula": "Ce2NdSnN5", "functional": "PBE", "state": "relaxed", "cell": [[3.569, 0.000, 0.000], [-1.785, 7.077, 0.000], [0.000, 0.000, 11.473]], "species": ["N", "N", "N", "N", "N", "N", "N", "N", "N", "N", "Ce", "Ce", "Ce", "Ce", "Nd", "Nd", "Sn", "Sn"], "frac_coords": [[0.728, 0.455, 0.132], [0.087, 0.174, 0.980], [0.411, 0.822, 0.120], [0.589, 0.178, 0.620], [0.411, 0.822, 0.840], [0.589, 0.178, 0.340], [0.272, 0.545, 0.329], [0.913, 0.826, 0.480], [0.272, 0.545, 0.632], [0.728, 0.455, 0.829], [0.862, 0.723, 0.723], [0.138, 0.277, 0.738], [0.138, 0.277, 0.223], [0.862, 0.723, 0.238], [0.730, 0.460, 0.480], [0.270, 0.540, 0.980], [0.492, 0.984, 0.480], [0.508, 0.016, 0.980]], "total_energy_ev_per_atom": -7.849, "spacegroup": "No. 63"}

=====

# 6
{"formula": "Ce2NdTaN4", "functional": "PBE", "state": "relaxed", "cell": [[-0.388, -0.759, 3.300], [3.538, -4.826, -0.694], [3.402, 4.702, 1.482]], "species": ["N", "N", "N", "N", "Ce", "Ce", "Nd", "Ta"], "frac_coords": [[0.500, 0.788, 0.780], [0.000, 0.215, 0.768], [0.500, 0.212, 0.220], [0.000, 0.785, 0.232], [0.500, 0.000, 0.500], [0.000, 0.500, 0.500], [0.500, 0.500, 0.000], [0.000, 0.000, 0.000]], "total_energy_ev_per_atom": -9.075, "n_ef_per_ev_atom": 0.581, "spacegroup": "No. 10"}

=====

# 7
{"formula": "CeNd2TaN4", "functional": "PBE", "state": "relaxed", "cell": [[6.926, 0.016, -0.118], [0.011, 6.926, -0.118], [-3.503, -3.506, 5.027]], "species": ["N", "N", "N", "N", "N", "N", "N", "N", "Ce", "Ce", "Ta", "Ta", "Nd", "Nd", "Nd", "Nd"], "frac_coords": [[0.754, 0.746, 0.540], [0.731, 0.286, 0.509], [0.246, 0.254, 0.460], [0.754, 0.746, 0.960], [0.246, 0.254, 0.040], [0.786, 0.231, 0.009], [0.269, 0.714, 0.491], [0.214, 0.769, 0.991], [0.000, 0.500, 0.000], [0.000, 0.500, 0.500], [0.000, 0.000, 0.000], [0.500, 0.500, 0.500], [0.500, 0.500, 0.000], [0.000, 0.000, 0.500], [0.500, 0.000, 0.500], [0.500, 0.000, 0.000]], "total_energy_ev_per_atom": -8.900, "n_ef_per_ev_atom": 0.553, "spacegroup": "No. 74"}

=====

# 8
{"formula": "Tb3Ce2NdN6", "functional": "PBE", "state": "relaxed", "cell": [[-0.848, -5.610, -2.347], [5.554, 1.683, 2.006], [-2.863, -0.698, 5.380]], "species": ["Tb", "Tb", "Tb", "Ce", "Ce", "N", "N", "N", "N", "N", "N", "Nd"], "frac_coords": [[0.167, 0.833, 0.500], [0.500, 0.500, 0.500], [0.833, 0.167, 0.500], [0.667, 0.333, 0.000], [0.333, 0.667, 0.000], [0.259, 0.259, 0.747], [0.427, 0.084, 0.251], [0.573, 0.916, 0.749], [0.084, 0.427, 0.251], [0.741, 0.741, 0.253], [0.916, 0.573, 0.749], [0.000, 0.000, 0.000]], "total_energy_ev_per_atom": -8.269, "n_ef_per_ev_atom": 0.452, "spacegroup": "No. 12"}

=====

# 9
{"formula": "TbCe2NdN4", "functional": "PBE", "state": "relaxed", "cell": [[3.571, 0.000, 0.000], [0.000, 6.189, 0.110], [0.000, -2.162, 5.784]], "species": ["Ce", "Ce", "N", "N", "N", "N", "Tb", "Nd"], "frac_coords": [[0.500, 0.000, 0.500], [0.000, 0.500, 0.500], [0.500, 0.246, 0.256], [0.500, 0.754, 0.744], [0.000, 0.760, 0.261], [0.000, 0.240, 0.739], [0.000, 0.000, 0.000], [0.500, 0.500, 0.000]], "total_energy_ev_per_atom": -8.332, "n_ef_per_ev_atom": 0.583, "spacegroup": "No. 10"}

=====

# 10
{"formula": "TbCe3Nd2N6", "functional": "PBE", "state": "relaxed", "cell": [[-3.330, -0.199, 5.234], [6.008, -1.554, 0.084], [0.528, 6.136, -0.657]], "species": ["Tb", "Nd", "Nd", "N", "N", "N", "N", "N", "N", "Ce", "Ce", "Ce"], "frac_coords": [[0.000, 0.000, 0.000], [0.333, 0.667, 0.000], [0.667, 0.333, 0.000], [0.913, 0.589, 0.739], [0.411, 0.087, 0.261], [0.087, 0.411, 0.261], [0.589, 0.913, 0.739], [0.763, 0.763, 0.261], [0.237, 0.237, 0.739], [0.166, 0.834, 0.500], [0.834, 0.166, 0.500], [0.500, 0.500, 0.500]], "total_energy_ev_per_atom": -8.319, "n_ef_per_ev_atom": 0.638, "spacegroup": "No. 12"}

=====

# 11
{"formula": "Tb2CeNdN4", "functional": "PBE", "state": "relaxed", "cell": [[3.554, 0.000, 0.000], [0.000, 6.145, 0.117], [0.000, -2.141, 5.756]], "species": ["Tb", "Tb", "N", "N", "N", "N", "Nd", "Ce"], "frac_coords": [[0.000, 0.500, 0.500], [0.500, 0.000, 0.500], [0.500, 0.244, 0.252], [0.000, 0.760, 0.254], [0.000, 0.240, 0.746], [0.500, 0.756, 0.748], [0.500, 0.500, 0.000], [0.000, 0.000, 0.000]], "total_energy_ev_per_atom": -8.203, "n_ef_per_ev_atom": 0.434, "spacegroup": "No. 10"}

=====

# 12
{"formula": "Tb2Ce3NdN6", "functional": "PBE", "state": "relaxed", "cell": [[6.165, 0.000, 0.001], [-3.081, 5.340, 0.001], [-1.028, -1.780, 5.798]], "species": ["N", "N", "N", "N", "N", "N", "Tb", "Tb", "Ce", "Ce", "Ce", "Nd"], "frac_coords": [[0.572, 0.915, 0.744], [0.915, 0.572, 0.744], [0.742, 0.742, 0.255], [0.085, 0.428, 0.256], [0.258, 0.258, 0.745], [0.428, 0.085, 0.256], [0.667, 0.333, 0.000], [0.333, 0.667, 0.000], [0.500, 0.500, 0.500], [0.167, 0.833, 0.500], [0.833, 0.167, 0.500], [0.000, 0.000, 0.000]], "total_energy_ev_per_atom": -8.349, "n_ef_per_ev_atom": 0.637, "spacegroup": "No. 12"}

=====

# 13
{"formula": "TbCeNd2N4", "functional": "PBE", "state": "relaxed", "cell": [[3.591, 0.000, 0.000], [0.000, 6.192, 0.114], [0.000, -2.160, 5.828]], "species": ["N", "N", "N", "N", "Nd", "Nd", "Tb", "Ce"], "frac_coords": [[0.000, 0.750, 0.236], [0.000, 0.250, 0.764], [0.500, 0.243, 0.235], [0.500, 0.757, 0.765], [0.500, 0.000, 0.500], [0.000, 0.500, 0.500], [0.500, 0.500, 0.000], [0.000, 0.000, 0.000]], "total_energy_ev_per_atom": -8.159, "n_ef_per_ev_atom": 0.355, "spacegroup": "No. 10"}

=====

# 14
{"formula": "Ce2NdTcN4", "functional": "PBE", "state": "relaxed", "cell": [[3.448, 0.000, 0.000], [-1.724, 6.001, 0.000], [0.000, 0.000, 11.677]], "species": ["Tc", "Tc", "N", "N", "N", "N", "N", "N", "N", "N", "Nd", "Nd", "Ce", "Ce", "Ce", "Ce"], "frac_coords": [[0.145, 0.290, 0.250], [0.855, 0.710, 0.750], [0.733, 0.465, 0.874], [0.733, 0.465, 0.626], [0.267, 0.535, 0.374], [0.000, 0.000, 0.500], [0.267, 0.535, 0.126], [0.542, 0.085, 0.250], [0.458, 0.915, 0.750], [0.000, 0.000, 0.000], [0.885, 0.769, 0.250], [0.115, 0.231, 0.750], [0.632, 0.264, 0.048], [0.368, 0.736, 0.548], [0.632, 0.264, 0.452], [0.368, 0.736, 0.952]], "total_energy_ev_per_atom": -8.613, "n_ef_per_ev_atom": 0.275, "spacegroup": "No. 63"}

=====

# 15
{"formula": "CeNdTeN", "functional": "PBE", "state": "relaxed", "cell": [[3.963, 0.000, 0.000], [1.981, 3.432, 0.000], [1.981, 1.144, 15.174]], "species": ["Nd", "Nd", "Te", "Te", "N", "N", "Ce", "Ce"], "frac_coords": [[0.762, 0.762, 0.714], [0.238, 0.238, 0.286], [0.380, 0.380, 0.861], [0.620, 0.620, 0.139], [0.189, 0.189, 0.432], [0.811, 0.811, 0.568], [0.500, 0.500, 0.500], [0.000, 0.000, 0.000]], "total_energy_ev_per_atom": -6.663, "n_ef_per_ev_atom": 0.889, "spacegroup": "No. 166"}

=====

# 16
{"formula": "CeNdTeN2", "functional": "PBE", "state": "relaxed", "cell": [[-3.513, 0.833, -1.783], [-1.639, -3.258, 1.707], [0.734, 4.958, 5.420]], "species": ["Nd", "N", "N", "Te", "Ce"], "frac_coords": [[0.837, 0.837, 0.673], [0.745, 0.245, 0.489], [0.245, 0.745, 0.489], [0.503, 0.503, 0.006], [0.171, 0.171, 0.342]], "total_energy_ev_per_atom": -7.370, "n_ef_per_ev_atom": 0.916, "spacegroup": "No. 107"}

=====

# 17
{"formula": "CeNd2Th3N6", "functional": "PBE", "state": "relaxed", "cell": [[6.327, -0.002, 0.001], [-3.164, 5.479, 0.001], [-1.054, -1.825, 5.940]], "species": ["N", "N", "N", "N", "N", "N", "Nd", "Nd", "Ce", "Th", "Th", "Th"], "frac_coords": [[0.237, 0.237, 0.739], [0.763, 0.763, 0.261], [0.590, 0.913, 0.740], [0.913, 0.590, 0.740], [0.087, 0.410, 0.260], [0.410, 0.087, 0.260], [0.667, 0.333, 0.000], [0.333, 0.667, 0.000], [0.000, 0.000, 0.000], [0.500, 0.500, 0.500], [0.167, 0.833, 0.500], [0.833, 0.167, 0.500]], "total_energy_ev_per_atom": -8.830, "n_ef_per_ev_atom": 0.511, "spacegroup": "No. 12"}

=====

# 18
{"formula": "CeNd2ThN4", "functional": "PBE", "state": "relaxed", "cell": [[-2.108, -1.737, -2.404], [4.932, -0.641, -3.861], [-0.305, -4.964, 3.855]], "species": ["N", "N", "N", "N", "Nd", "Nd", "Th", "Ce"], "frac_coords": [[0.500, 0.756, 0.765], [0.000, 0.254, 0.765], [0.500, 0.244, 0.235], [0.000, 0.746, 0.235], [0.500, 0.000, 0.500], [0.000, 0.500, 0.500], [0.500, 0.500, 0.000], [0.000, 0.000, 0.000]], "total_energy_ev_per_atom": -8.515, "n_ef_per_ev_atom": 0.540, "spacegroup": "No. 10"}

=====

# 19
{"formula": "Ce2NdTh3N6", "functional": "PBE", "state": "relaxed", "cell": [[-0.289, 1.225, 6.178], [2.318, -5.505, -2.017], [4.750, 3.786, -1.598]], "species": ["Ce", "Ce", "Th", "Th", "Th", "Nd", "N", "N", "N", "N", "N", "N"], "frac_coords": [[0.667, 0.333, 0.000], [0.333, 0.667, 0.000], [0.166, 0.834, 0.500], [0.834, 0.166, 0.500], [0.500, 0.500, 0.500], [0.000, 0.000, 0.000], [0.085, 0.427, 0.254], [0.743, 0.743, 0.253], [0.257, 0.257, 0.747], [0.915, 0.573, 0.746], [0.573, 0.915, 0.746], [0.427, 0.085, 0.254]], "total_energy_ev_per_atom": -8.936, "n_ef_per_ev_atom": 0.703, "spacegroup": "No. 12"}

=====

# 20
{"formula": "Ce3Nd2ThN6", "functional": "PBE", "state": "relaxed", "cell": [[3.611, 0.000, 0.000], [0.000, 7.222, 0.252], [-1.806, -2.090, 7.586]], "species": ["N", "N", "N", "N", "N", "N", "Ce", "Ce", "Ce", "Th", "Nd", "Nd"], "frac_coords": [[0.337, 0.407, 0.674], [0.334, 0.928, 0.668], [0.663, 0.593, 0.326], [0.004, 0.752, 0.007], [0.996, 0.248, 0.993], [0.666, 0.072, 0.332], [0.500, 0.500, 0.000], [0.832, 0.168, 0.664], [0.168, 0.832, 0.336], [0.500, 0.000, 0.000], [0.833, 0.664, 0.665], [0.167, 0.336, 0.335]], "total_energy_ev_per_atom": -8.550, "n_ef_per_ev_atom": 0.684, "spacegroup": "No. 12"}

=====

# 21
{"formula": "Ce4NdTh3N8", "functional": "PBE", "state": "relaxed", "cell": [[-2.345, -6.554, -1.982], [0.031, -2.104, 6.923], [-3.684, 5.910, -1.970]], "species": ["N", "N", "N", "N", "N", "N", "N", "N", "Ce", "Ce", "Ce", "Ce", "Nd", "Th", "Th", "Th"], "frac_coords": [[0.250, 0.249, 0.499], [0.255, 0.756, 0.000], [0.255, 0.756, 0.510], [0.745, 0.244, 0.490], [0.750, 0.751, 0.501], [0.745, 0.756, 0.000], [0.255, 0.244, 0.000], [0.745, 0.244, 0.000], [0.500, 0.000, 0.500], [0.000, 0.000, 0.000], [0.500, 0.000, 0.000], [0.000, 0.000, 0.500], [0.000, 0.500, 0.000], [0.500, 0.500, 0.000], [0.500, 0.500, 0.500], [0.000, 0.500, 0.500]], "total_energy_ev_per_atom": -8.860, "n_ef_per_ev_atom": 0.906, "spacegroup": "No. 166"}

=====

Sequential formation energy from raw total energies output: -1.279 -1.481 -1.454 -0.708 -0.930 -1.351 -1.323 -1.563 -1.511 -1.492 -1.545 -1.534 -1.484 -1.075 -1.120 -1.271 -1.523 -1.491 -1.532 -1.491 -1.525 eV/atom